Density functional theory data (PBEsol) for an optimized crystal structure of TlCdIn.

Space-group type = P3m1, No. 156
D(E_F) = 0.439 states/eV per atom
Energy of formation = 0.05 eV/atom

Cell: 5.156 5.156 3.331 Å, 90.00 90.00 120.00°
Fractional positions:
Tl  0.000  0.000  0.000
Cd  0.667  0.333  0.495
In  0.333  0.667  0.501